[1]
CsIn3Br4 | Alexandria | PBE | relaxed; offset from the most stable computed form = 58.3 meV/atom; raw formation energy = -19.78 kcal/mol of atoms
1.0
8.950 0.000 0.000
0.000 8.950 0.000
0.000 0.000 8.950
Cs In Br
2 6 8
Direct
0.000 0.000 0.000 Cs
0.500 0.500 0.500 Cs
0.000 0.250 0.500 In
0.000 0.750 0.500 In
0.250 0.500 0.000 In
0.500 0.000 0.250 In
0.500 0.000 0.750 In
0.750 0.500 0.000 In
0.250 0.250 0.250 Br
0.250 0.250 0.750 Br
0.250 0.750 0.250 Br
0.250 0.750 0.750 Br
0.750 0.250 0.250 Br
0.750 0.250 0.750 Br
0.750 0.750 0.250 Br
0.750 0.750 0.750 Br

=====

[2]
CuRe8 | Alexandria | PBE | relaxed; E_tot = -11.37 eV/atom
1.0
-4.119 4.119 1.963
4.119 -4.119 1.963
4.119 4.119 -1.963
Cu Re
1 8
Direct
0.000 0.000 0.000 Cu
0.000 0.334 0.334 Re
0.000 0.666 0.666 Re
0.333 0.333 0.666 Re
0.333 0.667 0.000 Re
0.334 0.000 0.334 Re
0.666 0.000 0.666 Re
0.667 0.333 0.000 Re
0.667 0.667 0.334 Re

=====

[3]
Ca2CoCu | Alexandria | PBE | relaxed; offset from the most stable computed form = 345.5 meV/atom
1.0
1.838 1.061 8.151
-1.838 1.061 8.151
0.000 -2.122 8.151
Ca Co Cu
2 1 1
Direct
0.244 0.244 0.244 Ca
0.756 0.756 0.756 Ca
0.500 0.500 0.500 Co
0.000 0.000 0.000 Cu

=====

[4]
Ba2TaBMo | Alexandria | PBE | relaxed; E_tot = -4.93 eV/atom
1.0
6.257 0.000 0.000
0.000 6.257 0.000
0.000 0.000 4.259
Ba Ta B Mo
2 1 1 1
Direct
0.000 0.500 0.000 Ba
0.500 0.000 0.000 Ba
0.000 0.000 0.000 Ta
0.000 0.000 0.500 B
0.500 0.500 0.500 Mo

=====

no.,density of states at the Fermi level (states/eV/atom)
1,0.000
2,0.801
3,0.656
4,0.962